[1]
A plane-wave DFT calculation with PBE was carried out for a geometry-optimized Li2HoPd9 structure.

Cell: 4.028 4.028 11.583 Å, 90.00 90.00 90.00°
Positions (direct):
Pd  0.500  0.500  0.000
Li  0.000  0.000  0.658
Pd  0.500  0.000  0.180
Pd  0.500  0.000  0.820
Pd  0.500  0.000  0.500
Pd  0.000  0.500  0.820
Pd  0.500  0.500  0.341
Ho  0.000  0.000  0.000
Pd  0.500  0.500  0.659
Pd  0.000  0.500  0.500
Li  0.000  0.000  0.342
Pd  0.000  0.500  0.180

Spin magnetization: 0.00 μB per cell
DFT total energy: -60.6 eV/cell
Symmetry: No. 123
Energy of formation from the pure elements: -0.457 eV per atom
Calculated density: 10.0 g cm⁻³



[2]
A plane-wave DFT calculation with PBE was carried out for a geometry-optimized LiHoPd2 structure.

Cell: 3.443 3.443 5.983 Å, 90.00 90.00 90.00°
Positions (direct):
Pd  0.000  0.000  0.767
Li  0.500  0.500  0.000
Pd  0.000  0.000  0.233
Ho  0.500  0.500  0.500

Spin magnetization: 0.00 μB per cell
DFT total energy: -19.8 eV/cell
Symmetry: No. 123
Energy of formation from the pure elements: -0.734 eV per atom
Calculated density: 9.0 g cm⁻³



[3]
A plane-wave DFT calculation with PBE was carried out for a geometry-optimized Li2HoPd3 structure.

Cell: 4.380 6.922 6.774 Å, 90.00 90.00 71.50°
Positions (direct):
Pd  0.165  0.671  0.728
Pd  0.500  0.000  0.717
Pd  0.835  0.329  0.272
Pd  0.165  0.671  0.272
Pd  0.835  0.329  0.728
Li  0.329  0.341  0.500
Li  0.671  0.659  0.500
Pd  0.500  0.000  0.283
Ho  0.346  0.307  0.000
Ho  0.654  0.693  0.000
Li  0.000  0.000  0.000
Li  0.000  0.000  0.500

Spin magnetization: 0.00 μB per cell
DFT total energy: -55.5 eV/cell
Symmetry: No. 10
Energy of formation from the pure elements: -0.631 eV per atom
Calculated density: 8.5 g cm⁻³



[4]
A plane-wave DFT calculation with PBE was carried out for a geometry-optimized Li7HoPd4 structure.

Cell: 4.680 7.499 6.502 Å, 76.56 68.91 71.82°
Positions (direct):
Pd  0.428  0.794  0.350
Li  0.062  0.601  0.275
Pd  0.686  0.674  0.953
Li  0.782  0.869  0.566
Li  0.218  0.131  0.434
Li  0.326  0.608  0.740
Li  0.500  0.000  0.000
Li  0.674  0.392  0.260
Pd  0.314  0.326  0.047
Li  0.938  0.399  0.725
Ho  0.000  0.000  0.000
Pd  0.572  0.206  0.650

Spin magnetization: 0.00 μB per cell
DFT total energy: -41.0 eV/cell
Symmetry: No. 12
Energy of formation from the pure elements: -0.188 eV per atom
Calculated density: 5.3 g cm⁻³



[5]
A plane-wave DFT calculation with PBE was carried out for a geometry-optimized LiHoPd2 structure.

Cell: 3.868 4.258 4.258 Å, 90.00 90.00 90.00°
Positions (direct):
Pd  0.000  0.000  0.500
Li  0.500  0.000  0.000
Pd  0.000  0.500  0.000
Ho  0.500  0.500  0.500

Spin magnetization: 0.00 μB per cell
DFT total energy: -19.7 eV/cell
Symmetry: No. 123
Energy of formation from the pure elements: -0.716 eV per atom
Calculated density: 9.1 g cm⁻³



[6]
A plane-wave DFT calculation with PBE was carried out for a geometry-optimized LiHo2Pd2 structure.

Cell: 3.734 7.643 7.643 Å, 90.00 90.00 90.00°
Positions (direct):
Pd  0.500  0.865  0.135
Ho  0.000  0.665  0.335
Ho  0.000  0.835  0.835
Li  0.500  0.000  0.500
Pd  0.500  0.365  0.365
Ho  0.000  0.335  0.665
Pd  0.500  0.635  0.635
Pd  0.500  0.135  0.865
Ho  0.000  0.165  0.165
Li  0.500  0.500  0.000

Spin magnetization: 0.00 μB per cell
DFT total energy: -50.0 eV/cell
Symmetry: No. 127
Energy of formation from the pure elements: -0.714 eV per atom
Calculated density: 8.4 g cm⁻³



[7]
A plane-wave DFT calculation with PBE was carried out for a geometry-optimized Li2Ho3Pd3 structure.

Cell: 5.504 8.331 8.331 Å, 120.00 90.00 90.00°
Positions (direct):
Li  0.000  0.667  0.333
Ho  0.750  0.000  0.261
Pd  0.250  0.000  0.395
Pd  0.250  0.605  0.605
Ho  0.250  0.261  0.261
Pd  0.250  0.395  0.000
Pd  0.750  0.605  0.000
Ho  0.750  0.739  0.739
Ho  0.750  0.261  0.000
Pd  0.750  0.395  0.395
Ho  0.250  0.739  0.000
Ho  0.250  0.000  0.739
Li  0.000  0.333  0.667
Li  0.500  0.333  0.667
Li  0.500  0.667  0.333
Pd  0.750  0.000  0.605

Spin magnetization: 0.00 μB per cell
DFT total energy: -76.8 eV/cell
Symmetry: No. 193
Energy of formation from the pure elements: -0.657 eV per atom
Calculated density: 8.3 g cm⁻³



[8]
A plane-wave DFT calculation with PBE was carried out for a geometry-optimized Li2HoPd7 structure.

Cell: 4.384 6.768 6.768 Å, 115.61 90.00 90.00°
Positions (direct):
Pd  0.500  0.687  0.936
Pd  0.500  0.936  0.687
Ho  0.000  0.000  0.000
Li  0.500  0.699  0.301
Pd  0.500  0.500  0.500
Pd  0.000  0.249  0.751
Pd  0.500  0.313  0.064
Pd  0.000  0.751  0.249
Li  0.500  0.301  0.699
Pd  0.500  0.064  0.313

Spin magnetization: 0.00 μB per cell
DFT total energy: -45.1 eV/cell
Symmetry: No. 65
Energy of formation from the pure elements: -0.037 eV per atom
Calculated density: 8.5 g cm⁻³